Record 1
Computed, not measured: crystalline NaSc2Au2 at its relaxed geometry at the PBE level of DFT.

abc: 8.1767 8.1767 3.2140
angles: 90.00 90.00 90.00
Last column: nearest neighbours and their distance in Å.
Sites, in units of the cell vectors:
Na: 0.5000 0.5000 0.0000  4 Sc 3.14, 2 Na 3.21
Na: 0.0000 0.0000 0.0000  4 Sc 3.14, 2 Na 3.21
Au: 0.1479 0.6479 0.5000  6 Sc 2.88, 2 Au 3.21
Au: 0.6479 0.8521 0.5000  6 Sc 2.88, 2 Au 3.21
Au: 0.3521 0.1479 0.5000  6 Sc 2.88, 2 Au 3.21
Au: 0.8521 0.3521 0.5000  6 Sc 2.88, 2 Au 3.21
Sc: 0.3550 0.8550 0.0000  6 Au 2.88, 2 Na 3.14, 2 Sc 3.21
Sc: 0.8550 0.6450 0.0000  6 Au 2.88, 2 Na 3.14, 2 Sc 3.21
Sc: 0.6450 0.1450 0.0000  6 Au 2.88, 2 Na 3.14, 2 Sc 3.21
Sc: 0.1450 0.3550 0.0000  6 Au 2.88, 2 Na 3.14, 2 Sc 3.21

Calculated values
density of states at the Fermi level	0.710	states/eV per atom
calculated formation energy	-0.49	eV/atom
energy above the most stable polymorph in this dataset	0.058	eV/atom

Record 2
Computed, not measured: crystalline NbCoAs2Pt at its relaxed geometry at the PBE level of DFT.

abc: 4.8947 4.5249 4.8947
angles: 90.00 90.00 90.00
Last column: nearest neighbours and their distance in Å.
Sites, in units of the cell vectors:
As: 0.0000 0.0000 0.5000  2 Nb 2.45
As: 0.5000 0.0000 0.0000  2 Nb 2.45
Co: 0.0000 0.5000 0.0000  2 Nb 2.26
Nb: 0.0000 0.0000 0.0000  2 Co 2.26, 4 As 2.45
Pt: 0.5000 0.5000 0.5000  8 As 3.33, 4 Co 3.46

Calculated values
density of states at the Fermi level	1.343	states/eV per atom
calculated formation energy	1.05	eV/atom

Record 3
Computed, not measured: crystalline KMgSc4 at its relaxed geometry at the PBE level of DFT.

abc: 6.2895 6.2895 6.2895
angles: 60.00 60.00 60.00
Last column: nearest neighbours and their distance in Å.
Sites, in units of the cell vectors:
Sc: 0.3719 0.3719 0.3719  6 Sc 3.07-3.22
Sc: 0.3719 0.3719 0.8844  6 Sc 3.07-3.22
Sc: 0.8844 0.3719 0.3719  6 Sc 3.07-3.22
Sc: 0.3719 0.8844 0.3719  6 Sc 3.07-3.22
Mg: 0.0000 0.0000 0.0000  12 Sc 3.68, 4 K 3.85
K: 0.7500 0.7500 0.7500  12 Sc 3.70, 4 Mg 3.85

Calculated values
density of states at the Fermi level	1.606	states/eV per atom
calculated formation energy	0.48	eV/atom

Record 4
Computed, not measured: crystalline TaCoMo3 at its relaxed geometry at the PBE level of DFT.

abc: 4.7016 4.7016 4.7016
angles: 90.00 90.00 90.00
Last column: nearest neighbours and their distance in Å.
Sites, in units of the cell vectors:
Mo: 0.5000 0.0000 0.0000  2 Ta 2.35
Mo: 0.0000 0.5000 0.0000  2 Ta 2.35
Mo: 0.0000 0.0000 0.5000  2 Ta 2.35
Co: 0.5000 0.5000 0.5000  12 Mo 3.32
Ta: 0.0000 0.0000 0.0000  6 Mo 2.35

Calculated values
density of states at the Fermi level	1.894	states/eV per atom
calculated formation energy	2.22	eV/atom
energy above the most stable polymorph in this dataset	1.145	eV/atom